Model a:
Below is a relaxed Ga3BRh crystal, with properties calculated at the GGA-PBE level.

Calculated values
N(E_F) = 3.1 states/eV/cell

a b c (Å): 4.7285 4.7285 4.7285
angles (deg): 90.00 90.00 90.00
Positions (direct):
B1 0.5000 0.5000 0.5000
Rh1 0.0000 0.0000 0.0000
Ga1 0.0000 0.0000 0.5000
Ga2 0.5000 0.0000 0.0000
Ga3 0.0000 0.5000 0.0000

=====

Model b:
Below is a relaxed Ga3BRh crystal, with properties calculated at the GGA-PBE level.

Calculated values
N(E_F) = 3.1 states/eV/cell

a b c (Å): 4.2295 4.2295 4.2295
angles (deg): 90.00 90.00 90.00
Positions (direct):
Ga1 0.5000 0.0000 0.0000
Rh1 0.5000 0.5000 0.5000
Ga2 0.0000 0.0000 0.5000
Ga3 0.0000 0.5000 0.0000
B1 0.0000 0.0000 0.0000

=====

Most favorable first, least favorable last: model b, model a